--- 1 ---
The following is a DFT calculation (PBE-GGA) of Al3Si3Ni2 after structural relaxation.

Summary:
Density ... 4.02 Mg/m³
DOS at the Fermi energy ... 2.664 states/eV/f.u.

a = 8.352 Å, b = 7.385 Å, c = 4.651 Å
α = 72.00°, β = 64.70°, γ = 65.71°
Atoms (fractional coordinates):
Al  0.756  0.364  0.745
Si  0.510  0.331  0.462
Si  0.939  0.631  0.235
Si  0.751  0.001  0.972
Al  0.870  0.077  0.332
Ni  0.919  0.734  0.697
Al  0.244  0.636  0.255
Ni  0.235  0.535  0.814
Al  0.587  0.779  0.899
Si  0.061  0.369  0.765
Si  0.249  0.999  0.028
Al  0.413  0.221  0.101
Ni  0.081  0.266  0.303
Si  0.490  0.669  0.538
Al  0.130  0.923  0.668
Ni  0.765  0.465  0.186

=====

--- 2 ---
The following is a DFT calculation (PBE-GGA) of Al3Si3Ni2 after structural relaxation.

Summary:
Density ... 4.29 Mg/m³
DOS at the Fermi energy ... 1.871 states/eV/f.u.

a = 6.378 Å, b = 6.378 Å, c = 3.106 Å
α = 90.00°, β = 90.00°, γ = 120.00°
Atoms (fractional coordinates):
Al  0.614  0.614  0.500
Ni  0.667  0.333  0.000
Si  0.241  0.241  0.000
Al  0.000  0.386  0.500
Si  0.759  0.000  0.000
Al  0.386  0.000  0.500
Si  0.000  0.759  0.000
Ni  0.333  0.667  0.000

=====

--- 3 ---
The following is a DFT calculation (PBE-GGA) of Al3Si3Ni2 after structural relaxation.

Summary:
Density ... 4.27 Mg/m³
DOS at the Fermi energy ... 2.999 states/eV/f.u.

a = 7.286 Å, b = 7.286 Å, c = 4.781 Å
α = 90.00°, β = 90.00°, γ = 120.00°
Atoms (fractional coordinates):
Si  0.000  0.419  0.750
Ni  0.333  0.667  0.000
Si  0.419  0.419  0.250
Ni  0.667  0.333  0.000
Al  0.000  0.780  0.750
Si  0.419  0.000  0.750
Si  0.581  0.581  0.750
Al  0.780  0.000  0.750
Si  0.000  0.581  0.250
Al  0.000  0.220  0.250
Al  0.220  0.220  0.750
Si  0.581  0.000  0.250
Al  0.220  0.000  0.250
Al  0.780  0.780  0.250
Ni  0.667  0.333  0.500
Ni  0.333  0.667  0.500

=====

--- 4 ---
The following is a DFT calculation (PBE-GGA) of Al3Si3Ni2 after structural relaxation.

Summary:
Density ... 4.08 Mg/m³
DOS at the Fermi energy ... 2.306 states/eV/f.u.

a = 7.319 Å, b = 7.319 Å, c = 4.960 Å
α = 90.00°, β = 90.00°, γ = 120.00°
Atoms (fractional coordinates):
Al  0.000  0.424  0.750
Al  0.424  0.000  0.750
Al  0.576  0.000  0.250
Ni  0.667  0.333  0.000
Si  0.799  0.799  0.250
Si  0.000  0.799  0.750
Al  0.000  0.576  0.250
Al  0.424  0.424  0.250
Si  0.799  0.000  0.750
Ni  0.333  0.667  0.000
Ni  0.667  0.333  0.500
Si  0.201  0.201  0.750
Ni  0.333  0.667  0.500
Si  0.000  0.201  0.250
Si  0.201  0.000  0.250
Al  0.576  0.576  0.750

=====

1 comes first in stability; the runner-up is 50 meV/atom higher.

=====

--- 1 ---
The following is a DFT calculation (PBE-GGA) of Al2SiNi2 after structural relaxation.

Summary:
Density ... 4.99 Mg/m³
DOS at the Fermi energy ... 1.993 states/eV/f.u.

a = 3.938 Å, b = 3.938 Å, c = 4.941 Å
α = 90.00°, β = 90.00°, γ = 120.00°
Atoms (fractional coordinates):
Si  0.000  0.000  0.000
Ni  0.667  0.333  0.146
Al  0.333  0.667  0.354
Al  0.667  0.333  0.646
Ni  0.333  0.667  0.854

=====

--- 2 ---
The following is a DFT calculation (PBE-GGA) of Al2SiNi2 after structural relaxation.

Summary:
Density ... 4.64 Mg/m³
DOS at the Fermi energy ... 2.243 states/eV/f.u.

a = 6.116 Å, b = 6.116 Å, c = 6.116 Å
α = 145.95°, β = 145.95°, γ = 48.91°
Atoms (fractional coordinates):
Al  0.750  0.250  0.500
Si  0.000  0.000  0.000
Al  0.250  0.750  0.500
Ni  0.605  0.605  0.000
Ni  0.395  0.395  0.000

=====

--- 3 ---
The following is a DFT calculation (PBE-GGA) of Al2SiNi2 after structural relaxation.

Summary:
Density ... 5.12 Mg/m³
DOS at the Fermi energy ... 1.227 states/eV/f.u.

a = 4.952 Å, b = 4.952 Å, c = 6.445 Å
α = 76.80°, β = 76.80°, γ = 58.06°
Atoms (fractional coordinates):
Al  0.465  0.206  0.650
Si  0.783  0.217  0.250
Ni  0.749  0.008  0.980
Al  0.794  0.535  0.850
Al  0.206  0.465  0.150
Ni  0.992  0.251  0.520
Ni  0.008  0.749  0.480
Al  0.535  0.794  0.350
Ni  0.251  0.992  0.020
Si  0.217  0.783  0.750

=====

1 comes first in stability; the runner-up is 116 meV/atom higher.

=====

--- 1 ---
The following is a DFT calculation (PBE-GGA) of AlSiNi5 after structural relaxation.

Summary:
Density ... 6.95 Mg/m³
DOS at the Fermi energy ... 6.991 states/eV/f.u.

a = 3.606 Å, b = 3.606 Å, c = 6.401 Å
α = 90.00°, β = 90.00°, γ = 90.00°
Atoms (fractional coordinates):
Ni  0.000  0.500  0.282
Ni  0.500  0.000  0.718
Ni  0.500  0.500  0.000
Si  0.000  0.000  0.500
Ni  0.500  0.000  0.282
Ni  0.000  0.500  0.718
Al  0.000  0.000  0.000

=====

--- 2 ---
The following is a DFT calculation (PBE-GGA) of AlSiNi5 after structural relaxation.

Summary:
Density ... 6.80 Mg/m³
DOS at the Fermi energy ... 5.482 states/eV/f.u.

a = 4.857 Å, b = 4.857 Å, c = 8.923 Å
α = 65.02°, β = 65.02°, γ = 71.33°
Atoms (fractional coordinates):
Al  0.664  0.336  0.250
Ni  0.494  0.253  0.994
Al  0.336  0.664  0.750
Ni  0.145  0.405  0.246
Ni  0.086  0.914  0.250
Ni  0.253  0.494  0.494
Ni  0.747  0.506  0.506
Ni  0.595  0.855  0.254
Si  0.000  0.000  0.500
Ni  0.506  0.747  0.006
Ni  0.855  0.595  0.754
Ni  0.914  0.086  0.750
Si  0.000  0.000  0.000
Ni  0.405  0.145  0.746

=====

--- 3 ---
The following is a DFT calculation (PBE-GGA) of AlSiNi5 after structural relaxation.

Summary:
Density ... 6.81 Mg/m³
DOS at the Fermi energy ... 8.500 states/eV/f.u.

a = 3.499 Å, b = 3.499 Å, c = 6.946 Å
α = 90.00°, β = 90.00°, γ = 90.00°
Atoms (fractional coordinates):
Ni  0.500  0.000  0.750
Ni  0.000  0.500  0.750
Ni  0.000  0.500  0.250
Al  0.000  0.000  0.500
Ni  0.500  0.500  0.000
Ni  0.500  0.000  0.250
Si  0.000  0.000  0.000

=====

1 comes first in stability; the runner-up is 108 meV/atom higher.

=====

--- 1 ---
The following is a DFT calculation (PBE-GGA) of Al2Si3Ni3 after structural relaxation.

Summary:
Density ... 4.84 Mg/m³
DOS at the Fermi energy ... 3.599 states/eV/f.u.

a = 6.897 Å, b = 6.897 Å, c = 5.238 Å
α = 90.00°, β = 90.00°, γ = 120.00°
Atoms (fractional coordinates):
Al  0.333  0.667  0.500
Al  0.667  0.333  0.000
Si  0.000  0.709  0.250
Ni  0.363  0.363  0.750
Si  0.000  0.291  0.750
Si  0.709  0.709  0.750
Ni  0.363  0.000  0.250
Ni  0.637  0.000  0.750
Si  0.291  0.291  0.250
Si  0.291  0.000  0.750
Si  0.709  0.000  0.250
Ni  0.000  0.363  0.250
Ni  0.000  0.637  0.750
Ni  0.637  0.637  0.250
Al  0.333  0.667  0.000
Al  0.667  0.333  0.500

=====

--- 2 ---
The following is a DFT calculation (PBE-GGA) of Al2Si3Ni3 after structural relaxation.

Summary:
Density ... 4.63 Mg/m³
DOS at the Fermi energy ... 5.011 states/eV/f.u.

a = 6.266 Å, b = 6.266 Å, c = 3.318 Å
α = 90.00°, β = 90.00°, γ = 120.00°
Atoms (fractional coordinates):
Ni  0.763  0.000  0.000
Si  0.290  0.000  0.500
Al  0.667  0.333  0.000
Al  0.333  0.667  0.000
Ni  0.237  0.237  0.000
Si  0.000  0.290  0.500
Ni  0.000  0.763  0.000
Si  0.710  0.710  0.500

=====

1 comes first in stability; the runner-up is 95 meV/atom higher.

=====

--- 1 ---
The following is a DFT calculation (PBE-GGA) of Al2Si3Ni3 after structural relaxation.

Summary:
Density ... 4.97 Mg/m³
DOS at the Fermi energy ... 5.928 states/eV/f.u.

a = 6.819 Å, b = 6.819 Å, c = 2.610 Å
α = 90.00°, β = 90.00°, γ = 120.00°
Atoms (fractional coordinates):
Ni  0.337  0.000  0.500
Si  0.215  0.215  0.000
Si  0.785  0.000  0.000
Al  0.667  0.333  0.000
Si  0.000  0.785  0.000
Ni  0.000  0.337  0.500
Ni  0.663  0.663  0.500
Al  0.333  0.667  0.000

=====

--- 2 ---
The following is a DFT calculation (PBE-GGA) of Al2Si3Ni3 after structural relaxation.

Summary:
Density ... 5.01 Mg/m³
DOS at the Fermi energy ... 3.008 states/eV/f.u.

a = 7.526 Å, b = 6.602 Å, c = 4.436 Å
α = 83.53°, β = 78.93°, γ = 74.90°
Atoms (fractional coordinates):
Al  0.370  0.274  0.749
Al  0.873  0.713  0.640
Al  0.127  0.287  0.360
Al  0.630  0.726  0.251
Ni  0.650  0.484  0.784
Ni  0.469  0.111  0.229
Ni  0.350  0.516  0.216
Si  0.740  0.103  0.795
Si  0.260  0.897  0.205
Ni  0.531  0.889  0.771
Si  0.661  0.325  0.308
Si  0.958  0.329  0.903
Si  0.339  0.675  0.692
Si  0.042  0.671  0.097
Ni  0.929  0.042  0.266
Ni  0.071  0.958  0.734

=====

2 comes first in stability; the runner-up is 105 meV/atom higher.

=====

--- 1 ---
The following is a DFT calculation (PBE-GGA) of Al2Si5Ni after structural relaxation.

Summary:
Density ... 3.58 Mg/m³
DOS at the Fermi energy ... 3.886 states/eV/f.u.

a = 6.795 Å, b = 6.795 Å, c = 6.795 Å
α = 157.51°, β = 97.25°, γ = 87.13°
Atoms (fractional coordinates):
Si  0.855  0.626  0.228
Si  0.145  0.374  0.772
Al  0.224  0.724  0.500
Si  0.602  0.374  0.228
Ni  0.000  0.000  0.000
Al  0.776  0.276  0.500
Si  0.398  0.626  0.772
Si  0.500  0.000  0.500

=====

--- 2 ---
The following is a DFT calculation (PBE-GGA) of Al2Si5Ni after structural relaxation.

Summary:
Density ... 3.70 Mg/m³
DOS at the Fermi energy ... 2.715 states/eV/f.u.

a = 7.649 Å, b = 7.649 Å, c = 7.649 Å
α = 149.71°, β = 149.71°, γ = 43.36°
Atoms (fractional coordinates):
Ni  0.000  0.000  0.000
Al  0.746  0.746  0.000
Si  0.385  0.885  0.500
Si  0.885  0.385  0.500
Si  0.115  0.615  0.500
Si  0.615  0.115  0.500
Al  0.254  0.254  0.000
Si  0.500  0.500  0.000

=====

2 comes first in stability; the runner-up is 107 meV/atom higher.

=====

--- 1 ---
The following is a DFT calculation (PBE-GGA) of Al4SiNi after structural relaxation.

Summary:
Density ... 3.47 Mg/m³
DOS at the Fermi energy ... 3.405 states/eV/f.u.

a = 4.578 Å, b = 4.578 Å, c = 5.134 Å
α = 90.00°, β = 90.00°, γ = 120.00°
Atoms (fractional coordinates):
Al  0.333  0.667  0.748
Al  0.667  0.333  0.748
Ni  0.000  0.000  0.500
Si  0.000  0.000  0.000
Al  0.667  0.333  0.252
Al  0.333  0.667  0.252

=====

--- 2 ---
The following is a DFT calculation (PBE-GGA) of Al4SiNi after structural relaxation.

Summary:
Density ... 3.45 Mg/m³
DOS at the Fermi energy ... 2.491 states/eV/f.u.

a = 6.980 Å, b = 6.980 Å, c = 7.541 Å
α = 90.00°, β = 90.00°, γ = 149.30°
Atoms (fractional coordinates):
Si  0.381  0.619  0.750
Al  0.000  0.000  0.500
Al  0.189  0.811  0.936
Al  0.189  0.811  0.564
Al  0.575  0.425  0.750
Al  0.811  0.189  0.064
Ni  0.237  0.763  0.250
Si  0.619  0.381  0.250
Ni  0.763  0.237  0.750
Al  0.425  0.575  0.250
Al  0.000  0.000  0.000
Al  0.811  0.189  0.436

=====

2 comes first in stability; the runner-up is 311 meV/atom higher.

=====

--- 1 ---
The following is a DFT calculation (PBE-GGA) of Al4SiNi after structural relaxation.

Summary:
Density ... 3.44 Mg/m³
DOS at the Fermi energy ... 1.863 states/eV/f.u.

a = 3.718 Å, b = 6.574 Å, c = 7.692 Å
α = 90.00°, β = 90.00°, γ = 90.00°
Atoms (fractional coordinates):
Al  0.500  0.911  0.250
Al  0.000  0.000  0.000
Al  0.500  0.312  0.054
Si  0.000  0.553  0.250
Ni  0.000  0.798  0.750
Al  0.500  0.688  0.554
Al  0.500  0.688  0.946
Al  0.500  0.312  0.446
Si  0.000  0.447  0.750
Al  0.500  0.089  0.750
Al  0.000  0.000  0.500
Ni  0.000  0.202  0.250

=====

--- 2 ---
The following is a DFT calculation (PBE-GGA) of Al4SiNi after structural relaxation.

Summary:
Density ... 3.45 Mg/m³
DOS at the Fermi energy ... 3.106 states/eV/f.u.

a = 2.892 Å, b = 7.055 Å, c = 9.175 Å
α = 90.00°, β = 90.00°, γ = 90.00°
Atoms (fractional coordinates):
Al  0.000  0.000  0.000
Al  0.500  0.672  0.942
Al  0.500  0.771  0.250
Si  0.000  0.123  0.250
Al  0.000  0.000  0.500
Al  0.500  0.229  0.750
Al  0.500  0.672  0.558
Si  0.000  0.877  0.750
Al  0.500  0.328  0.442
Al  0.500  0.328  0.058
Ni  0.000  0.475  0.250
Ni  0.000  0.525  0.750

=====

1 comes first in stability; the runner-up is 160 meV/atom higher.